# Rh3C PBE optimized geometry
data_Rh3C
_space_group_name_H-M_alt 'P 1'
_space_group_IT_number 1
_space_group_name_Hall 'P 1'
_cell_length_a 3.999
_cell_length_b 3.999
_cell_length_c 3.999
_cell_angle_alpha 90.00
_cell_angle_beta 90.00
_cell_angle_gamma 90.00
loop_
_atom_site_label
_atom_site_type_symbol
_atom_site_fract_x
_atom_site_fract_y
_atom_site_fract_z
_atom_site_occupancy
C1 C 0.000 0.000 0.000 1
Rh1 Rh 0.000 0.500 0.000 1
Rh2 Rh 0.500 0.000 0.000 1
Rh3 Rh 0.000 0.000 0.500 1
# SG: No. 221
# Formation energy: 593 meV/atom
# Total magnetic moment: 0.0 μB per cell
# Fermi-level density of states: 5.30 states/eV per cell

# Rh3C PBE optimized geometry
data_Rh3C
_space_group_name_H-M_alt 'P 1'
_space_group_IT_number 1
_space_group_name_Hall 'P 1'
_cell_length_a 7.404
_cell_length_b 7.404
_cell_length_c 7.404
_cell_angle_alpha 22.09
_cell_angle_beta 22.09
_cell_angle_gamma 22.09
loop_
_atom_site_label
_atom_site_type_symbol
_atom_site_fract_x
_atom_site_fract_y
_atom_site_fract_z
_atom_site_occupancy
Rh1 Rh 0.500 0.500 0.500 1
Rh2 Rh 0.274 0.274 0.274 1
Rh3 Rh 0.726 0.726 0.726 1
C1 C 0.000 0.000 0.000 1
# SG: No. 166
# Formation energy: 401 meV/atom
# Total magnetic moment: 1.1 μB per cell
# Fermi-level density of states: 5.06 states/eV per cell

# Rh4C PBE optimized geometry
data_Rh4C
_space_group_name_H-M_alt 'P 1'
_space_group_IT_number 1
_space_group_name_Hall 'P 1'
_cell_length_a 6.852
_cell_length_b 6.852
_cell_length_c 6.852
_cell_angle_alpha 150.88
_cell_angle_beta 150.88
_cell_angle_gamma 41.65
loop_
_atom_site_label
_atom_site_type_symbol
_atom_site_fract_x
_atom_site_fract_y
_atom_site_fract_z
_atom_site_occupancy
Rh1 Rh 0.250 0.750 0.500 1
Rh2 Rh 0.595 0.595 0.000 1
Rh3 Rh 0.750 0.250 0.500 1
C1 C 0.000 0.000 0.000 1
Rh4 Rh 0.405 0.405 0.000 1
# SG: No. 139
# Formation energy: 1469 meV/atom
# Total magnetic moment: 0.0 μB per cell
# Fermi-level density of states: 6.94 states/eV per cell

# Rh3C PBE optimized geometry
data_Rh3C
_space_group_name_H-M_alt 'P 1'
_space_group_IT_number 1
_space_group_name_Hall 'P 1'
_cell_length_a 4.443
_cell_length_b 4.443
_cell_length_c 4.443
_cell_angle_alpha 129.60
_cell_angle_beta 129.60
_cell_angle_gamma 74.05
loop_
_atom_site_label
_atom_site_type_symbol
_atom_site_fract_x
_atom_site_fract_y
_atom_site_fract_z
_atom_site_occupancy
Rh1 Rh 0.750 0.250 0.500 1
Rh2 Rh 0.500 0.500 0.000 1
C1 C 0.000 0.000 0.000 1
Rh3 Rh 0.250 0.750 0.500 1
# SG: No. 139
# Formation energy: 1141 meV/atom
# Total magnetic moment: 0.0 μB per cell
# Fermi-level density of states: 3.87 states/eV per cell

# Rh3C PBE optimized geometry
data_Rh3C
_space_group_name_H-M_alt 'P 1'
_space_group_IT_number 1
_space_group_name_Hall 'P 1'
_cell_length_a 4.740
_cell_length_b 4.740
_cell_length_c 4.740
_cell_angle_alpha 116.18
_cell_angle_beta 116.18
_cell_angle_gamma 116.18
loop_
_atom_site_label
_atom_site_type_symbol
_atom_site_fract_x
_atom_site_fract_y
_atom_site_fract_z
_atom_site_occupancy
Rh1 Rh 0.500 0.500 0.000 1
C1 C 0.000 0.000 0.000 1
Rh2 Rh 0.500 0.000 0.500 1
Rh3 Rh 0.000 0.500 0.500 1
# SG: No. 166
# Formation energy: 1315 meV/atom
# Total magnetic moment: 0.0 μB per cell
# Fermi-level density of states: 5.76 states/eV per cell

# RhC PBE optimized geometry
data_RhC
_space_group_name_H-M_alt 'P 1'
_space_group_IT_number 1
_space_group_name_Hall 'P 1'
_cell_length_a 3.299
_cell_length_b 3.299
_cell_length_c 3.106
_cell_angle_alpha 90.00
_cell_angle_beta 90.00
_cell_angle_gamma 132.17
loop_
_atom_site_label
_atom_site_type_symbol
_atom_site_fract_x
_atom_site_fract_y
_atom_site_fract_z
_atom_site_occupancy
Rh1 Rh 0.500 0.500 0.500 1
C1 C 0.000 0.000 0.000 1
# SG: No. 65
# Formation energy: 1164 meV/atom
# Total magnetic moment: 0.0 μB per cell
# Fermi-level density of states: 1.20 states/eV per cell

# Rh3C4 PBE optimized geometry
data_Rh3C4
_space_group_name_H-M_alt 'P 1'
_space_group_IT_number 1
_space_group_name_Hall 'P 1'
_cell_length_a 4.265
_cell_length_b 4.265
_cell_length_c 4.265
_cell_angle_alpha 90.00
_cell_angle_beta 90.00
_cell_angle_gamma 90.00
loop_
_atom_site_label
_atom_site_type_symbol
_atom_site_fract_x
_atom_site_fract_y
_atom_site_fract_z
_atom_site_occupancy
Rh1 Rh 0.000 0.000 0.500 1
Rh2 Rh 0.500 0.000 0.000 1
C1 C 0.500 0.000 0.500 1
Rh3 Rh 0.000 0.500 0.000 1
C2 C 0.000 0.000 0.000 1
C3 C 0.500 0.500 0.000 1
C4 C 0.000 0.500 0.500 1
# SG: No. 221
# Formation energy: 1539 meV/atom
# Total magnetic moment: 0.0 μB per cell
# Fermi-level density of states: 11.53 states/eV per cell

# RhC PBE optimized geometry
data_RhC
_space_group_name_H-M_alt 'P 1'
_space_group_IT_number 1
_space_group_name_Hall 'P 1'
_cell_length_a 4.336
_cell_length_b 4.336
_cell_length_c 3.463
_cell_angle_alpha 90.00
_cell_angle_beta 90.00
_cell_angle_gamma 99.91
loop_
_atom_site_label
_atom_site_type_symbol
_atom_site_fract_x
_atom_site_fract_y
_atom_site_fract_z
_atom_site_occupancy
C1 C 0.500 0.000 0.000 1
Rh1 Rh 0.000 0.000 0.000 1
Rh2 Rh 0.300 0.700 0.500 1
Rh3 Rh 0.700 0.300 0.500 1
C2 C 0.500 0.500 0.000 1
C3 C 0.000 0.500 0.000 1
# SG: No. 65
# Formation energy: 1315 meV/atom
# Total magnetic moment: 0.0 μB per cell
# Fermi-level density of states: 2.90 states/eV per cell

# Rh3C PBE optimized geometry
data_Rh3C
_space_group_name_H-M_alt 'P 1'
_space_group_IT_number 1
_space_group_name_Hall 'P 1'
_cell_length_a 2.981
_cell_length_b 4.707
_cell_length_c 4.707
_cell_angle_alpha 53.45
_cell_angle_beta 90.00
_cell_angle_gamma 90.00
loop_
_atom_site_label
_atom_site_type_symbol
_atom_site_fract_x
_atom_site_fract_y
_atom_site_fract_z
_atom_site_occupancy
Rh1 Rh 0.000 0.500 0.500 1
Rh2 Rh 0.500 0.161 0.161 1
Rh3 Rh 0.500 0.839 0.839 1
C1 C 0.000 0.000 0.000 1
# SG: No. 65
# Formation energy: 367 meV/atom
# Total magnetic moment: 0.2 μB per cell
# Fermi-level density of states: 6.98 states/eV per cell

# RhC PBE optimized geometry
data_RhC
_space_group_name_H-M_alt 'P 1'
_space_group_IT_number 1
_space_group_name_Hall 'P 1'
_cell_length_a 4.371
_cell_length_b 4.371
_cell_length_c 2.596
_cell_angle_alpha 90.00
_cell_angle_beta 90.00
_cell_angle_gamma 118.75
loop_
_atom_site_label
_atom_site_type_symbol
_atom_site_fract_x
_atom_site_fract_y
_atom_site_fract_z
_atom_site_occupancy
Rh1 Rh 0.190 0.810 0.250 1
C1 C 0.455 0.545 0.250 1
C2 C 0.545 0.455 0.750 1
Rh2 Rh 0.810 0.190 0.750 1
# SG: No. 63
# Formation energy: 745 meV/atom
# Total magnetic moment: 0.0 μB per cell
# Fermi-level density of states: 2.93 states/eV per cell

# RhC PBE optimized geometry
data_RhC
_space_group_name_H-M_alt 'P 1'
_space_group_IT_number 1
_space_group_name_Hall 'P 1'
_cell_length_a 7.956
_cell_length_b 7.956
_cell_length_c 3.075
_cell_angle_alpha 90.00
_cell_angle_beta 90.00
_cell_angle_gamma 120.00
loop_
_atom_site_label
_atom_site_type_symbol
_atom_site_fract_x
_atom_site_fract_y
_atom_site_fract_z
_atom_site_occupancy
C1 C 0.695 0.058 0.250 1
C2 C 0.305 0.942 0.750 1
Rh1 Rh 0.556 0.891 0.750 1
C3 C 0.364 0.305 0.250 1
C4 C 0.636 0.695 0.750 1
C5 C 0.942 0.636 0.250 1
C6 C 0.058 0.364 0.750 1
Rh2 Rh 0.109 0.665 0.750 1
Rh3 Rh 0.335 0.444 0.750 1
Rh4 Rh 0.665 0.556 0.250 1
Rh5 Rh 0.891 0.335 0.250 1
Rh6 Rh 0.444 0.109 0.250 1
# SG: No. 176
# Formation energy: 772 meV/atom
# Total magnetic moment: 0.0 μB per cell
# Fermi-level density of states: 4.41 states/eV per cell

# RhC PBE optimized geometry
data_RhC
_space_group_name_H-M_alt 'P 1'
_space_group_IT_number 1
_space_group_name_Hall 'P 1'
_cell_length_a 4.955
_cell_length_b 5.469
_cell_length_c 3.041
_cell_angle_alpha 73.86
_cell_angle_beta 72.13
_cell_angle_gamma 35.00
loop_
_atom_site_label
_atom_site_type_symbol
_atom_site_fract_x
_atom_site_fract_y
_atom_site_fract_z
_atom_site_occupancy
Rh1 Rh 0.485 0.040 0.237 1
C1 C 0.001 0.945 0.027 1
Rh2 Rh 0.432 0.543 0.513 1
C2 C 0.916 0.638 0.723 1
# SG: No. 12
# Formation energy: 1097 meV/atom
# Total magnetic moment: 0.0 μB per cell
# Fermi-level density of states: 1.80 states/eV per cell

# Rh7C6 PBE optimized geometry
data_Rh7C6
_space_group_name_H-M_alt 'P 1'
_space_group_IT_number 1
_space_group_name_Hall 'P 1'
_cell_length_a 7.158
_cell_length_b 7.158
_cell_length_c 7.158
_cell_angle_alpha 45.76
_cell_angle_beta 45.76
_cell_angle_gamma 45.76
loop_
_atom_site_label
_atom_site_type_symbol
_atom_site_fract_x
_atom_site_fract_y
_atom_site_fract_z
_atom_site_occupancy
Rh1 Rh 0.581 0.049 0.581 1
C1 C 0.655 0.655 0.655 1
Rh2 Rh 0.419 0.419 0.951 1
C2 C 0.887 0.887 0.887 1
Rh3 Rh 0.951 0.419 0.419 1
Rh4 Rh 0.419 0.951 0.419 1
Rh5 Rh 0.581 0.581 0.049 1
C3 C 0.345 0.345 0.345 1
C4 C 0.817 0.817 0.817 1
C5 C 0.113 0.113 0.113 1
Rh6 Rh 0.500 0.500 0.500 1
C6 C 0.183 0.183 0.183 1
Rh7 Rh 0.049 0.581 0.581 1
# SG: No. 166
# Formation energy: 1134 meV/atom
# Total magnetic moment: 0.8 μB per cell
# Fermi-level density of states: 10.03 states/eV per cell

# Rh4C PBE optimized geometry
data_Rh4C
_space_group_name_H-M_alt 'P 1'
_space_group_IT_number 1
_space_group_name_Hall 'P 1'
_cell_length_a 5.031
_cell_length_b 5.031
_cell_length_c 5.031
_cell_angle_alpha 94.07
_cell_angle_beta 94.07
_cell_angle_gamma 149.09
loop_
_atom_site_label
_atom_site_type_symbol
_atom_site_fract_x
_atom_site_fract_y
_atom_site_fract_z
_atom_site_occupancy
Rh1 Rh 0.761 0.437 0.198 1
Rh2 Rh 0.239 0.563 0.802 1
Rh3 Rh 0.563 0.761 0.324 1
Rh4 Rh 0.437 0.239 0.676 1
C1 C 0.000 0.000 0.000 1
# SG: No. 87
# Formation energy: 480 meV/atom
# Total magnetic moment: 0.0 μB per cell
# Fermi-level density of states: 6.99 states/eV per cell